Tb12Pr2Tm5 | GGA-PBE | optimized geometry

As for the calculated total energy: -4.47 eV per atom. The formation energy from the elements comes out at 0.136 eV per atom. As for the size of the total moment: 0.00 μB/f.u.

The structure belongs to space group C2/m (No. 12); the cell edges are 15.769, 9.221 and 8.532 Å and the angles 90.00°, 90.79° and 90.00°. The distinct sites, in fractional coordinates, are Tb at (0.060, 0.000, 0.330), Tb at (0.095, 0.500, 0.883), Tb at (0.126, 0.192, 0.652), Tb at (0.158, 0.319, 0.243), Pr at (0.000, 0.184, 0.000), Tm at (0.000, 0.500, 0.500), Tm at (0.197, 0.000, 0.010) and Tm at (0.231, 0.500, 0.575).

***

SrPu3O9 | GGA-PBE | optimized geometry

As for the calculated total energy: -9.63 eV per atom. As for the size of the total moment: 8.00 μB/f.u.

The structure belongs to space group P2_1/m (No. 11); the cell edges are 5.779, 8.101 and 8.872 Å and the angles 90.00°, 93.37° and 90.00°. The distinct sites, in fractional coordinates, are Sr at (0.036, 0.250, 0.437), Pu at (0.000, 0.000, 0.000), Pu at (0.468, 0.002, 0.690), O at (0.075, 0.250, 0.987), O at (0.163, 0.553, 0.788), O at (0.273, 0.536, 0.473), O at (0.303, 0.541, 0.118), O at (0.361, 0.250, 0.665) and O at (0.434, 0.250, 0.313).

***

NdZnHRh2 | GGA-PBE | optimized geometry

As for the calculated total energy: -5.31 eV per atom. As for the size of the total moment: 0.00 μB/f.u.

The structure belongs to space group Cmcm (No. 63); the cell edges are 3.891, 11.029 and 7.278 Å and the angles 90.00°, 90.00° and 90.00°. The distinct sites, in fractional coordinates, are Nd at (0.000, 0.057, 0.250), Zn at (0.000, 0.218, 0.750), H at (0.000, 0.500, 0.000) and Rh at (0.000, 0.345, 0.042).

***

Zn2Cu2Ru | GGA-PBE | optimized geometry

As for the calculated total energy: -3.89 eV per atom. The formation energy from the elements comes out at 0.109 eV per atom. As for the size of the total moment: 0.00 μB/f.u.

The structure belongs to space group P4/mbm (No. 127); the cell edges are 7.139, 7.139 and 2.608 Å and the angles 90.00°, 90.00° and 90.00°. The distinct sites, in fractional coordinates, are Zn at (0.176, 0.324, 0.000), Cu at (0.122, 0.622, 0.500) and Ru at (0.000, 0.000, 0.500).

***

CdBi2RhO8 | GGA-PBE | optimized geometry

As for the calculated total energy: -5.42 eV per atom. As for the size of the total moment: 1.14 μB/f.u.

The structure belongs to space group P2/m (No. 10); the cell edges are 4.868, 6.905 and 4.904 Å and the angles 90.00°, 90.77° and 90.00°. The distinct sites, in fractional coordinates, are Cd at (0.000, 0.000, 0.000), Bi at (0.500, 0.253, 0.500), Rh at (0.000, 0.500, 0.000), O at (0.200, 0.278, 0.173), O at (0.271, 0.500, 0.698) and O at (0.301, 0.000, 0.676).

***

UAgIBr4 | GGA-PBE | optimized geometry

As for the calculated total energy: -4.12 eV per atom. As for the size of the total moment: 2.00 μB/f.u.

The structure belongs to space group C2/m (No. 12); the cell edges are 11.969, 9.471 and 12.061 Å and the angles 90.00°, 117.04° and 90.00°. The distinct sites, in fractional coordinates, are U at (0.055, 0.000, 0.209), Ag at (0.192, 0.500, 0.352), I at (0.188, 0.000, 0.041), Br at (0.050, 0.291, 0.195), Br at (0.090, 0.000, 0.671) and Br at (0.213, 0.500, 0.582).

***

SmThPa4 | GGA-PBE | optimized geometry

As for the calculated total energy: -8.18 eV per atom. The formation energy from the elements comes out at 0.171 eV per atom. As for the size of the total moment: 0.00 μB/f.u.

The structure belongs to space group F-43m (No. 216); the cell edges are 8.693, 8.693 and 8.693 Å and the angles 90.00°, 90.00° and 90.00°. The distinct sites, in fractional coordinates, are Sm at (0.000, 0.000, 0.000), Th at (0.250, 0.250, 0.250) and Pa at (0.125, 0.125, 0.625).

***

TlTcSn2Ge | GGA-PBE | optimized geometry

As for the calculated total energy: -4.88 eV per atom. The formation energy from the elements comes out at 0.187 eV per atom. As for the size of the total moment: 0.00 μB/f.u.

The structure belongs to space group P4/mmm (No. 123); the cell edges are 5.274, 5.274 and 4.806 Å and the angles 90.00°, 90.00° and 90.00°. The distinct sites, in fractional coordinates, are Tl at (0.000, 0.000, 0.000), Tc at (0.500, 0.500, 0.500), Sn at (0.000, 0.500, 0.500) and Ge at (0.500, 0.500, 0.000).

***

V2ReHW | GGA-PBE | optimized geometry

As for the calculated total energy: -9.35 eV per atom. As for the size of the total moment: 0.00 μB/f.u.

The structure belongs to space group P4/mmm (No. 123); the cell edges are 4.245, 4.245 and 3.372 Å and the angles 90.00°, 90.00° and 90.00°. The distinct sites, in fractional coordinates, are V at (0.000, 0.500, 0.000), Re at (0.000, 0.000, 0.500), H at (0.500, 0.500, 0.000) and W at (0.500, 0.500, 0.500).

***

NdY5Sb6 | GGA-PBE | optimized geometry

As for the calculated total energy: -6.32 eV per atom. As for the size of the total moment: 0.00 μB/f.u.

The structure belongs to space group C2/m (No. 12); the cell edges are 7.646, 13.245 and 7.645 Å and the angles 90.00°, 109.50° and 90.00°. The distinct sites, in fractional coordinates, are Nd at (0.000, 0.000, 0.000), Y at (0.000, 0.165, 0.500), Y at (0.000, 0.333, 0.000), Y at (0.000, 0.500, 0.500), Sb at (0.245, 0.500, 0.251) and Sb at (0.246, 0.331, 0.746).

***

Cs2RbPrBr6 | GGA-PBE | optimized geometry

As for the calculated total energy: -3.62 eV per atom. As for the size of the total moment: 0.00 μB/f.u.

The structure belongs to space group P2_1/c (No. 14); the cell edges are 8.444, 8.907 and 14.641 Å and the angles 90.00°, 124.38° and 90.00°. The distinct sites, in fractional coordinates, are Cs at (0.222, 0.069, 0.247), Rb at (0.000, 0.000, 0.500), Pr at (0.500, 0.000, 0.000), Br at (0.172, 0.182, 0.952), Br at (0.265, 0.727, 0.940) and Br at (0.376, 0.038, 0.770).